# 1
# BiOsO2F | Alexandria via LeMat-Bulk | GGA-PBE | optimized geometry
data_BiOsO2F
_chemical_formula_sum 'Bi1 Os1 O2 F1'
_cell_length_a 3.685
_cell_length_b 3.685
_cell_length_c 7.573
_cell_angle_alpha 90.00
_cell_angle_beta 90.00
_cell_angle_gamma 90.00
_space_group_name_H-M_alt 'P 4/m m m'
_space_group_IT_number 123
_space_group_name_Hall '-P 4 2'
loop_
_atom_site_label
_atom_site_fract_x
_atom_site_fract_y
_atom_site_fract_z
Bi1 0.000 0.000 0.000
Os1 0.500 0.500 0.500
O1 0.000 0.500 0.500
F1 0.500 0.500 0.000
# Formation energy from raw total energies: -3.48 eV per formula unit
# D(E_F): 4.25 states/eV/f.u.

***

# 2
# BiOsO2F | Alexandria via LeMat-Bulk | GGA-PBE | optimized geometry
data_BiOsO2F
_chemical_formula_sum 'Bi1 Os1 O2 F1'
_cell_length_a 4.438
_cell_length_b 4.438
_cell_length_c 4.435
_cell_angle_alpha 90.00
_cell_angle_beta 90.00
_cell_angle_gamma 90.00
_space_group_name_H-M_alt 'P 4/m m m'
_space_group_IT_number 123
_space_group_name_Hall '-P 4 2'
loop_
_atom_site_label
_atom_site_fract_x
_atom_site_fract_y
_atom_site_fract_z
Bi1 0.000 0.000 0.000
Os1 0.500 0.500 0.500
O1 0.000 0.500 0.000
F1 0.000 0.000 0.500
# Formation energy from raw total energies: 2.14 eV per formula unit
# D(E_F): 6.23 states/eV/f.u.

***

# 3
# BiOsOF2 | Alexandria via LeMat-Bulk | GGA-PBE | optimized geometry
data_BiOsOF2
_chemical_formula_sum 'Bi1 Os1 O1 F2'
_cell_length_a 4.617
_cell_length_b 4.617
_cell_length_c 4.506
_cell_angle_alpha 90.00
_cell_angle_beta 90.00
_cell_angle_gamma 90.00
_space_group_name_H-M_alt 'P 4/m m m'
_space_group_IT_number 123
_space_group_name_Hall '-P 4 2'
loop_
_atom_site_label
_atom_site_fract_x
_atom_site_fract_y
_atom_site_fract_z
Bi1 0.000 0.000 0.000
Os1 0.500 0.500 0.500
O1 0.000 0.000 0.500
F1 0.000 0.500 0.000
# Formation energy from raw total energies: 0.15 eV per formula unit
# D(E_F): 3.89 states/eV/f.u.

***

# 4
# BiOsOF2 | Alexandria via LeMat-Bulk | GGA-PBE | optimized geometry
data_BiOsOF2
_chemical_formula_sum 'Bi1 Os1 O1 F2'
_cell_length_a 4.681
_cell_length_b 4.681
_cell_length_c 3.658
_cell_angle_alpha 90.00
_cell_angle_beta 90.00
_cell_angle_gamma 90.00
_space_group_name_H-M_alt 'P 4/m m m'
_space_group_IT_number 123
_space_group_name_Hall '-P 4 2'
loop_
_atom_site_label
_atom_site_fract_x
_atom_site_fract_y
_atom_site_fract_z
Bi1 0.000 0.000 0.000
Os1 0.500 0.500 0.500
O1 0.500 0.500 0.000
F1 0.000 0.500 0.500
# Formation energy from raw total energies: -2.72 eV per formula unit
# D(E_F): 2.41 states/eV/f.u.

***

# 5
# BiP2OF | Alexandria via LeMat-Bulk | GGA-PBE | optimized geometry
data_BiP2OF
_chemical_formula_sum 'Bi1 P2 O1 F1'
_cell_length_a 3.936
_cell_length_b 3.936
_cell_length_c 5.351
_cell_angle_alpha 90.00
_cell_angle_beta 90.00
_cell_angle_gamma 90.00
_space_group_name_H-M_alt 'P 4/m m m'
_space_group_IT_number 123
_space_group_name_Hall '-P 4 2'
loop_
_atom_site_label
_atom_site_fract_x
_atom_site_fract_y
_atom_site_fract_z
Bi1 0.000 0.000 0.000
P1 0.000 0.500 0.500
O1 0.500 0.500 0.000
F1 0.500 0.500 0.500
# Formation energy from raw total energies: 1.70 eV per formula unit
# D(E_F): 2.20 states/eV/f.u.

***

# 6
# BiP2OF | Alexandria via LeMat-Bulk | GGA-PBE | optimized geometry
data_BiP2OF
_chemical_formula_sum 'Bi1 P2 O1 F1'
_cell_length_a 5.441
_cell_length_b 5.441
_cell_length_c 4.215
_cell_angle_alpha 90.00
_cell_angle_beta 90.00
_cell_angle_gamma 90.00
_space_group_name_H-M_alt 'P 4/m m m'
_space_group_IT_number 123
_space_group_name_Hall '-P 4 2'
loop_
_atom_site_label
_atom_site_fract_x
_atom_site_fract_y
_atom_site_fract_z
Bi1 0.000 0.000 0.000
P1 0.000 0.500 0.000
O1 0.000 0.000 0.500
F1 0.500 0.500 0.500
# Formation energy from raw total energies: 3.66 eV per formula unit
# D(E_F): 4.90 states/eV/f.u.

***

# 7
# PaBiO4F | Alexandria via LeMat-Bulk | GGA-PBE | optimized geometry
data_PaBiO4F
_chemical_formula_sum 'Pa4 Bi4 O16 F4'
_cell_length_a 10.043
_cell_length_b 7.077
_cell_length_c 6.787
_cell_angle_alpha 90.00
_cell_angle_beta 101.50
_cell_angle_gamma 90.00
_space_group_name_H-M_alt 'C 1 2/m 1'
_space_group_IT_number 12
loop_
_space_group_symop_operation_xyz
'x,y,z'
'-x,-y,-z'
'-x,y,-z'
'x,-y,z'
'x+1/2,y+1/2,z'
'-x+1/2,-y+1/2,-z'
'-x+1/2,y+1/2,-z'
'x+1/2,-y+1/2,z'
loop_
_atom_site_label
_atom_site_fract_x
_atom_site_fract_y
_atom_site_fract_z
Pa1 0.209 0.000 0.105
Bi1 0.135 0.500 0.350
O1 0.089 0.500 0.705
O2 0.186 0.000 0.417
O3 0.186 0.310 0.126
F1 0.039 0.000 0.839
# Formation energy from raw total energies: -16.55 eV per formula unit
# D(E_F): 2.51 states/eV/f.u.

***

# 8
# Pa2BiO6F3 | Alexandria via LeMat-Bulk | GGA-PBE | optimized geometry
data_Pa2BiO6F3
_chemical_formula_sum 'Pa4 Bi2 O12 F6'
_cell_length_a 3.856
_cell_length_b 5.633
_cell_length_c 11.668
_cell_angle_alpha 90.00
_cell_angle_beta 90.00
_cell_angle_gamma 90.00
_space_group_name_H-M_alt 'I m m m'
_space_group_IT_number 71
_space_group_name_Hall '-I 2 2'
loop_
_atom_site_label
_atom_site_fract_x
_atom_site_fract_y
_atom_site_fract_z
Pa1 0.000 0.000 0.169
Bi1 0.000 0.000 0.500
O1 0.000 0.243 0.337
O2 0.000 0.259 0.000
F1 0.000 0.500 0.189
F2 0.000 0.500 0.500
# Formation energy from raw total energies: -29.69 eV per formula unit
# D(E_F): 1.12 states/eV/f.u.

***

# 9
# BiPbOF2 | Alexandria via LeMat-Bulk | GGA-PBE | optimized geometry
data_BiPbOF2
_chemical_formula_sum 'Bi1 Pb1 O1 F2'
_cell_length_a 4.975
_cell_length_b 4.975
_cell_length_c 4.133
_cell_angle_alpha 90.00
_cell_angle_beta 90.00
_cell_angle_gamma 90.00
_space_group_name_H-M_alt 'P 4/m m m'
_space_group_IT_number 123
_space_group_name_Hall '-P 4 2'
loop_
_atom_site_label
_atom_site_fract_x
_atom_site_fract_y
_atom_site_fract_z
Bi1 0.000 0.000 0.000
Pb1 0.500 0.500 0.000
O1 0.000 0.000 0.500
F1 0.000 0.500 0.500
# Formation energy from raw total energies: -3.05 eV per formula unit
# D(E_F): 3.85 states/eV/f.u.

***

# 10
# BiPbOF2 | Alexandria via LeMat-Bulk | GGA-PBE | optimized geometry
data_BiPbOF2
_chemical_formula_sum 'Bi1 Pb1 O1 F2'
_cell_length_a 4.663
_cell_length_b 4.663
_cell_length_c 4.701
_cell_angle_alpha 90.00
_cell_angle_beta 90.00
_cell_angle_gamma 90.00
_space_group_name_H-M_alt 'P 4/m m m'
_space_group_IT_number 123
_space_group_name_Hall '-P 4 2'
loop_
_atom_site_label
_atom_site_fract_x
_atom_site_fract_y
_atom_site_fract_z
Bi1 0.000 0.000 0.000
Pb1 0.500 0.500 0.500
O1 0.000 0.000 0.500
F1 0.000 0.500 0.000
# Formation energy from raw total energies: -6.70 eV per formula unit
# D(E_F): 2.71 states/eV/f.u.

***

# 11
# BiPbOF2 | Alexandria via LeMat-Bulk | GGA-PBE | optimized geometry
data_BiPbOF2
_chemical_formula_sum 'Bi1 Pb1 O1 F2'
_cell_length_a 4.670
_cell_length_b 4.670
_cell_length_c 4.552
_cell_angle_alpha 90.00
_cell_angle_beta 90.00
_cell_angle_gamma 90.00
_space_group_name_H-M_alt 'P 4/m m m'
_space_group_IT_number 123
_space_group_name_Hall '-P 4 2'
loop_
_atom_site_label
_atom_site_fract_x
_atom_site_fract_y
_atom_site_fract_z
Bi1 0.000 0.000 0.000
Pb1 0.500 0.500 0.500
O1 0.500 0.500 0.000
F1 0.000 0.500 0.500
# Formation energy from raw total energies: -5.05 eV per formula unit
# D(E_F): 3.20 states/eV/f.u.

***

# 12
# BiPdO2F | Alexandria via LeMat-Bulk | GGA-PBE | optimized geometry
data_BiPdO2F
_chemical_formula_sum 'Bi1 Pd1 O2 F1'
_cell_length_a 4.122
_cell_length_b 4.122
_cell_length_c 4.135
_cell_angle_alpha 90.00
_cell_angle_beta 90.00
_cell_angle_gamma 90.00
_space_group_name_H-M_alt 'P 4/m m m'
_space_group_IT_number 123
_space_group_name_Hall '-P 4 2'
loop_
_atom_site_label
_atom_site_fract_x
_atom_site_fract_y
_atom_site_fract_z
Bi1 0.000 0.000 0.000
Pd1 0.500 0.500 0.500
O1 0.000 0.500 0.500
F1 0.500 0.500 0.000
# Formation energy from raw total energies: -2.90 eV per formula unit
# D(E_F): 2.11 states/eV/f.u.

***

# 13
# BiPdO2F | Alexandria via LeMat-Bulk | GGA-PBE | optimized geometry
data_BiPdO2F
_chemical_formula_sum 'Bi1 Pd1 O2 F1'
_cell_length_a 4.329
_cell_length_b 4.329
_cell_length_c 4.438
_cell_angle_alpha 90.00
_cell_angle_beta 90.00
_cell_angle_gamma 90.00
_space_group_name_H-M_alt 'P 4/m m m'
_space_group_IT_number 123
_space_group_name_Hall '-P 4 2'
loop_
_atom_site_label
_atom_site_fract_x
_atom_site_fract_y
_atom_site_fract_z
Bi1 0.000 0.000 0.000
Pd1 0.500 0.500 0.500
O1 0.000 0.500 0.000
F1 0.000 0.000 0.500
# Formation energy from raw total energies: -2.33 eV per formula unit
# D(E_F): 5.26 states/eV/f.u.

***

# 14
# Pm2BiOF | Alexandria via LeMat-Bulk | GGA-PBE | optimized geometry
data_Pm2BiOF
_chemical_formula_sum 'Pm4 Bi2 O2 F2'
_cell_length_a 4.046
_cell_length_b 4.046
_cell_length_c 12.946
_cell_angle_alpha 90.00
_cell_angle_beta 90.00
_cell_angle_gamma 90.00
_space_group_name_H-M_alt 'I -4 m 2'
_space_group_IT_number 119
_space_group_name_Hall 'I -4 -2'
loop_
_atom_site_label
_atom_site_fract_x
_atom_site_fract_y
_atom_site_fract_z
Pm1 0.000 0.000 0.149
Bi1 0.000 0.000 0.500
O1 0.000 0.500 0.750
F1 0.000 0.500 0.250
# Formation energy from raw total energies: -12.79 eV per formula unit
# D(E_F): 1.45 states/eV/f.u.

***

# 15
# PrBi2O4F | Alexandria via LeMat-Bulk | GGA-PBE | optimized geometry
data_PrBi2O4F
_chemical_formula_sum 'Pr1 Bi2 O4 F1'
_cell_length_a 3.920
_cell_length_b 3.920
_cell_length_c 8.795
_cell_angle_alpha 90.00
_cell_angle_beta 90.00
_cell_angle_gamma 90.00
_space_group_name_H-M_alt 'P 4/m m m'
_space_group_IT_number 123
_space_group_name_Hall '-P 4 2'
loop_
_atom_site_label
_atom_site_fract_x
_atom_site_fract_y
_atom_site_fract_z
Pr1 0.000 0.000 0.000
Bi1 0.500 0.500 0.298
O1 0.000 0.500 0.171
F1 0.000 0.000 0.500
# Formation energy from raw total energies: -16.76 eV per formula unit

***

# 16
# Pr2BiOF | Alexandria via LeMat-Bulk | GGA-PBE | optimized geometry
data_Pr2BiOF
_chemical_formula_sum 'Pr4 Bi2 O2 F2'
_cell_length_a 4.107
_cell_length_b 4.107
_cell_length_c 13.167
_cell_angle_alpha 90.00
_cell_angle_beta 90.00
_cell_angle_gamma 90.00
_space_group_name_H-M_alt 'I -4 m 2'
_space_group_IT_number 119
_space_group_name_Hall 'I -4 -2'
loop_
_atom_site_label
_atom_site_fract_x
_atom_site_fract_y
_atom_site_fract_z
Pr1 0.000 0.000 0.148
Bi1 0.000 0.000 0.500
O1 0.000 0.500 0.250
F1 0.000 0.500 0.750
# Formation energy from raw total energies: -12.66 eV per formula unit
# D(E_F): 1.46 states/eV/f.u.

***

# 17
# Pr2BiO4F | Alexandria via LeMat-Bulk | GGA-PBE | optimized geometry
data_Pr2BiO4F
_chemical_formula_sum 'Pr4 Bi2 O8 F2'
_cell_length_a 11.200
_cell_length_b 3.543
_cell_length_c 6.795
_cell_angle_alpha 90.00
_cell_angle_beta 112.69
_cell_angle_gamma 90.00
_space_group_name_H-M_alt 'C 1 2/m 1'
_space_group_IT_number 12
loop_
_space_group_symop_operation_xyz
'x,y,z'
'-x,-y,-z'
'-x,y,-z'
'x,-y,z'
'x+1/2,y+1/2,z'
'-x+1/2,-y+1/2,-z'
'-x+1/2,y+1/2,-z'
'x+1/2,-y+1/2,z'
loop_
_atom_site_label
_atom_site_fract_x
_atom_site_fract_y
_atom_site_fract_z
Pr1 0.190 0.000 0.197
Bi1 0.000 0.000 0.500
O1 0.132 0.500 0.436
O2 0.179 0.000 0.829
F1 0.000 0.500 0.000
# Formation energy from raw total energies: -21.67 eV per formula unit
# D(E_F): 0.00 states/eV/f.u.

***

# 18
# BiPtO2F | Alexandria via LeMat-Bulk | GGA-PBE | optimized geometry
data_BiPtO2F
_chemical_formula_sum 'Bi1 Pt1 O2 F1'
_cell_length_a 4.361
_cell_length_b 4.361
_cell_length_c 4.389
_cell_angle_alpha 90.00
_cell_angle_beta 90.00
_cell_angle_gamma 90.00
_space_group_name_H-M_alt 'P 4/m m m'
_space_group_IT_number 123
_space_group_name_Hall '-P 4 2'
loop_
_atom_site_label
_atom_site_fract_x
_atom_site_fract_y
_atom_site_fract_z
Bi1 0.000 0.000 0.000
Pt1 0.500 0.500 0.500
O1 0.000 0.500 0.000
F1 0.000 0.000 0.500
# Formation energy from raw total energies: -0.52 eV per formula unit
# D(E_F): 4.07 states/eV/f.u.

***

# 19
# BiPtO2F | Alexandria via LeMat-Bulk | GGA-PBE | optimized geometry
data_BiPtO2F
_chemical_formula_sum 'Bi1 Pt1 O2 F1'
_cell_length_a 4.138
_cell_length_b 4.138
_cell_length_c 4.245
_cell_angle_alpha 90.00
_cell_angle_beta 90.00
_cell_angle_gamma 90.00
_space_group_name_H-M_alt 'P 4/m m m'
_space_group_IT_number 123
_space_group_name_Hall '-P 4 2'
loop_
_atom_site_label
_atom_site_fract_x
_atom_site_fract_y
_atom_site_fract_z
Bi1 0.000 0.000 0.000
Pt1 0.500 0.500 0.500
O1 0.000 0.500 0.500
F1 0.500 0.500 0.000
# Formation energy from raw total energies: -2.04 eV per formula unit
# D(E_F): 1.86 states/eV/f.u.

***

# 20
# PuBiO4F | Alexandria via LeMat-Bulk | GGA-PBE | optimized geometry
data_PuBiO4F
_chemical_formula_sum 'Pu4 Bi4 O16 F4'
_cell_length_a 8.999
_cell_length_b 8.501
_cell_length_c 7.356
_cell_angle_alpha 90.00
_cell_angle_beta 104.70
_cell_angle_gamma 90.00
_space_group_name_H-M_alt 'C 1 2/m 1'
_space_group_IT_number 12
loop_
_space_group_symop_operation_xyz
'x,y,z'
'-x,-y,-z'
'-x,y,-z'
'x,-y,z'
'x+1/2,y+1/2,z'
'-x+1/2,-y+1/2,-z'
'-x+1/2,y+1/2,-z'
'x+1/2,-y+1/2,z'
loop_
_atom_site_label
_atom_site_fract_x
_atom_site_fract_y
_atom_site_fract_z
Pu1 0.156 0.000 0.204
Bi1 0.189 0.500 0.220
O1 0.104 0.000 0.893
O2 0.160 0.220 0.204
O3 0.195 0.000 0.493
F1 0.099 0.500 0.833
# Formation energy from raw total energies: -15.03 eV per formula unit
# D(E_F): 2.78 states/eV/f.u.